Compound: TbSm2Be
Source: the Alexandria database
Functional: PBE-GGA
Structure: optimized geometry

Geometry as POSCAR:
```
TbSm2Be
1.0
3.5436 0.0000 0.0000
0.0000 3.5436 0.0000
0.0000 0.0000 8.6034
Tb Sm Be
1 2 1
Direct
0.0000 0.0000 0.0000 Tb
0.5000 0.5000 0.3042 Sm
0.5000 0.5000 0.6958 Sm
0.0000 0.0000 0.5000 Be
```

Summary:
ΔE to the lowest computed polymorph: 0.0 meV per atom
Energy relative to the elements: 0.10 eV/atom
D(E_F): 4.222 states/eV/cell
Total DFT energy (no corrections): -4.345 eV/atom
Size of the total moment: 0.00 μB per formula unit

Compound: Tb2SmBe
Source: the Alexandria database
Functional: PBE-GGA
Structure: optimized geometry

Geometry as POSCAR:
```
Tb2SmBe
1.0
1.7332 1.0007 11.4739
-1.7332 1.0007 11.4739
0.0000 -2.0013 11.4739
Tb Sm Be
2 1 1
Direct
0.0838 0.0838 0.0838 Tb
0.9162 0.9162 0.9162 Tb
0.5000 0.5000 0.5000 Sm
0.0000 0.0000 0.0000 Be
```

Summary:
ΔE to the lowest computed polymorph: 623.7 meV per atom
Energy relative to the elements: 0.70 eV/atom
D(E_F): 4.932 states/eV/cell
Total DFT energy (no corrections): -3.727 eV/atom
Size of the total moment: 0.00 μB per formula unit

Compound: TbSmBe
Source: the Alexandria database
Functional: PBE-GGA
Structure: optimized geometry

Geometry as POSCAR:
```
TbSmBe
1.0
-1.7584 1.7584 6.0416
1.7584 -1.7584 6.0416
1.7584 1.7584 -6.0416
Tb Sm Be
1 1 1
Direct
0.0000 0.0000 0.0000 Tb
0.2711 0.2711 0.0000 Sm
0.6302 0.6302 0.0000 Be
```

Summary:
Energy relative to the elements: 0.11 eV/atom
D(E_F): 3.224 states/eV/cell
Total DFT energy (no corrections): -4.246 eV/atom
Size of the total moment: 0.00 μB per formula unit

Compound: Tb2SmBe
Source: the Alexandria database
Functional: PBE-GGA
Structure: optimized geometry

Geometry as POSCAR:
```
Tb2SmBe
1.0
3.4893 0.0000 0.0000
0.0000 3.4893 0.0000
0.0000 0.0000 8.6583
Tb Sm Be
2 1 1
Direct
0.0000 0.0000 0.1915 Tb
0.0000 0.0000 0.8085 Tb
0.5000 0.5000 0.5000 Sm
0.5000 0.5000 0.0000 Be
```

Summary:
ΔE to the lowest computed polymorph: 0.0 meV per atom
Energy relative to the elements: 0.08 eV/atom
D(E_F): 4.474 states/eV/cell
Total DFT energy (no corrections): -4.350 eV/atom
Size of the total moment: 0.00 μB per formula unit

Compound: TbSm2Be
Source: the Alexandria database
Functional: PBE-GGA
Structure: optimized geometry

Geometry as POSCAR:
```
TbSm2Be
1.0
1.7342 1.0012 11.5793
-1.7342 1.0012 11.5793
0.0000 -2.0025 11.5793
Tb Sm Be
1 2 1
Direct
0.0000 0.0000 0.0000 Tb
0.4158 0.4158 0.4158 Sm
0.5842 0.5842 0.5842 Sm
0.5000 0.5000 0.5000 Be
```

Summary:
ΔE to the lowest computed polymorph: 583.0 meV per atom
Energy relative to the elements: 0.69 eV/atom
D(E_F): 4.644 states/eV/cell
Total DFT energy (no corrections): -3.762 eV/atom
Size of the total moment: 0.00 μB per formula unit

Compound: SmBe17Tc
Source: the Alexandria database
Functional: PBE-GGA
Structure: optimized geometry

Geometry as POSCAR:
```
SmBe17Tc
1.0
3.7608 2.1713 3.6551
-3.7608 2.1713 3.6551
0.0000 -4.3426 3.6551
Sm Be Tc
1 17 1
Direct
0.0000 0.0000 0.0000 Sm
0.0464 0.3477 0.6252 Be
0.0464 0.6252 0.3477 Be
0.1979 0.6775 0.6775 Be
0.2502 0.2502 0.2502 Be
0.3408 0.3408 0.8405 Be
0.3408 0.8405 0.3408 Be
0.3477 0.0464 0.6252 Be
0.3477 0.6252 0.0464 Be
0.4411 0.4411 0.4411 Be
0.5054 0.9898 0.9898 Be
0.6252 0.0464 0.3477 Be
0.6252 0.3477 0.0464 Be
0.6775 0.1979 0.6775 Be
0.6775 0.6775 0.1979 Be
0.8405 0.3408 0.3408 Be
0.9898 0.5054 0.9898 Be
0.9898 0.9898 0.5054 Be
0.6670 0.6670 0.6670 Tc
```

Summary:
Energy relative to the elements: -0.08 eV/atom
D(E_F): 4.907 states/eV/cell
Total DFT energy (no corrections): -4.205 eV/atom
Size of the total moment: 0.00 μB per formula unit